This record from the Alexandria database describes a relaxed PuMgInAu crystal. The functional is PBE.

Structure (POSCAR):
```
PuMgInAu
1.0
-4.7178 -1.4408 -1.1999
-0.7469 -3.4986 -3.6022
-1.6374 -4.6361 1.2648
Mg Pu In Au
1 1 1 1
direct
0.2500 0.2500 0.2500
0.7500 0.7500 0.7500
0.5000 0.5000 0.5000
0.0000 0.0000 0.0000
```

Results
The formation energy comes out at -0.292 eV per atom. The value obtained for the total energy is -23.110 eV per cell. The density comes out at 10.41 g cm⁻³. For the density of states at the Fermi level, the calculation gives 11.7 states/eV/cell. The space-group type is F-43m.

This record from the Alexandria database describes a relaxed Cs3K2 crystal. The functional is PBE.

Structure (POSCAR):
```
Cs3K2
1.0
-8.5151 -9.1326 6.6754
3.6306 -5.0690 12.7121
-4.3160 -0.4049 8.9563
Cs K
6 4
direct
0.9224 0.2500 0.2500
0.5776 0.9224 0.2500
0.2500 0.5776 0.2500
0.0776 0.7500 0.7500
0.7500 0.4224 0.7500
0.4224 0.0776 0.7500
0.6244 0.6244 0.1268
0.3756 0.3756 0.8732
0.1244 0.1244 0.6268
0.8756 0.8756 0.3732
```

Results
The formation energy comes out at 0.013 eV per atom. The value obtained for the total energy is -9.378 eV per cell. The density comes out at 1.61 g cm⁻³. For the density of states at the Fermi level, the calculation gives 10.6 states/eV/cell. The space-group type is R-3c.

What is the formula in the second record? Cs3K2